Entry 1:
Material: CsScBiSb2
Method: DFT, meta-GGA SCAN
State: single point on PBEsol structure

The value obtained for the uncorrected formation energy is 721 kJ/mol of formula units. Its total magnetic moment is 0.002 μB/f.u.

The structure belongs to space group P4/mmm (No. 123); the cell edges are 5.861, 5.861 and 5.951 Å and the angles 90.00°, 90.00° and 90.00°. The asymmetric unit holds Cs at (0.000, 0.000, 0.000), Sc at (0.500, 0.500, 0.500), Bi at (0.000, 0.000, 0.500) and Sb at (0.000, 0.500, 0.000).

***

Entry 2:
Material: ZrPt2S
Method: DFT, meta-GGA SCAN
State: single point on PBEsol structure

The value obtained for the uncorrected formation energy is -143 kJ/mol of formula units. Its total magnetic moment is 0.000 μB/f.u.

The structure belongs to space group Fm-3m (No. 225); the cell edges are 6.447, 6.447 and 6.447 Å and the angles 90.00°, 90.00° and 90.00°. The asymmetric unit holds Zr at (0.000, 0.000, 0.000), Pt at (0.250, 0.250, 0.250) and S at (0.000, 0.000, 0.500).

***

Entry 3:
Material: Sm3Se4
Method: DFT, meta-GGA SCAN
State: single point on PBEsol structure

The value obtained for the uncorrected formation energy is -1390 kJ/mol of formula units. Its total magnetic moment is 0.000 μB/f.u.

The structure belongs to space group I-43d (No. 220); the cell edges are 8.695, 8.695 and 8.695 Å and the angles 90.00°, 90.00° and 90.00°. The asymmetric unit holds Sm at (0.000, 0.250, 0.875) and Se at (0.075, 0.425, 0.575).

***

Entry 4:
Material: VSi2
Method: DFT, meta-GGA SCAN
State: single point on PBEsol structure

The value obtained for the uncorrected formation energy is -129 kJ/mol of formula units. Its total magnetic moment is 0.001 μB/f.u.

The structure belongs to space group P6_222 (No. 180); the cell edges are 4.5195, 4.5195 and 6.3265 Å and the angles 90.00°, 90.00° and 120.00°. The asymmetric unit holds V at (0.0000, 0.5000, 0.1667) and Si at (0.1633, 0.3266, 0.5000).

***

Entry 5:
Material: La2AlSi
Method: DFT, meta-GGA SCAN
State: single point on PBEsol structure

The value obtained for the uncorrected formation energy is -166 kJ/mol of formula units. Its total magnetic moment is 0.000 μB/f.u.

The structure belongs to space group P4/mmm (No. 123); the cell edges are 4.845, 4.845 and 4.215 Å and the angles 90.00°, 90.00° and 90.00°. The asymmetric unit holds La at (0.000, 0.500, 0.000), Al at (0.000, 0.000, 0.500) and Si at (0.500, 0.500, 0.500).

***

Entry 6:
Material: TiWBr2
Method: DFT, meta-GGA SCAN
State: single point on PBEsol structure

The value obtained for the uncorrected formation energy is 266 kJ/mol of formula units. Its total magnetic moment is 0.002 μB/f.u.

The structure belongs to space group R-3m (No. 166, hexagonal axes); the cell edges are 3.0968, 3.0968 and 26.7646 Å and the angles 90.00°, 90.00° and 120.00°. The asymmetric unit holds Ti at (0.0000, 0.0000, 0.0000), W at (0.0000, 0.0000, 0.5000) and Br at (0.0000, 0.0000, 0.0946).